! CdTc4Ni, relaxed, DFT PBE; values from VASP
&SYSTEM
  ibrav = 0, nat = 6, ntyp = 3
/
ATOMIC_SPECIES
Tc 98.00 Tc.upf
Ni 58.69 Ni.upf
Cd 112.41 Cd.upf
CELL_PARAMETERS angstrom
0.000 3.634 3.634
3.634 0.000 3.634
3.634 3.634 0.000
ATOMIC_POSITIONS crystal
Tc 0.374 0.374 0.374
Tc 0.374 0.877 0.374
Tc 0.877 0.374 0.374
Tc 0.374 0.374 0.877
Ni 0.000 0.000 0.000
Cd 0.750 0.750 0.750
! Total moment   0.009 μB/atom
! Calculated volume   16.00 Å³/atom
! N(E_F)   8.8 states/eV/f.u.
! Formation energy   316 kJ/mol of formula units

! Tb6SmAl2, relaxed, DFT PBE; values from VASP
&SYSTEM
  ibrav = 0, nat = 9, ntyp = 3
/
ATOMIC_SPECIES
Tb 158.93 Tb.upf
Sm 150.36 Sm.upf
Al 26.98 Al.upf
CELL_PARAMETERS angstrom
0.508 -0.857 3.572
1.842 -6.301 0.151
11.571 0.362 0.366
ATOMIC_POSITIONS crystal
Tb 0.689 0.208 0.414
Tb 0.020 0.289 0.670
Tb 0.311 0.792 0.586
Tb 0.689 0.496 0.125
Tb 0.980 0.711 0.330
Tb 0.311 0.504 0.875
Sm 0.000 0.000 0.000
Al 0.650 0.910 0.791
Al 0.350 0.090 0.209
! Total moment   0.000 μB/atom
! Calculated volume   28.97 Å³/atom
! Energy relative to the lowest polymorph listed for this composition   0.00 eV/f.u.
! N(E_F)   10.3 states/eV/f.u.
! Formation energy   -138 kJ/mol of formula units